# 1
## Pr4MgSn3 (PBE)

Data for a relaxed Pr4MgSn3 crystal.

Output
- Space group: No. 25
- D(E_F): 8.00 states/eV per cell
- ΔE_f: -0.5929 eV/atom
- M_tot: 0.71 μB/cell
- Crystal system: orthorhombic

Unit cell a=4.639 b=4.502 c=11.987 alpha=90.00 beta=90.00 gamma=90.00
Each line ends with the local moment (μB).
Element x y z (fractional)
Pr (0.500, 0.500, 0.365)  0.05
Pr (0.000, 0.500, 0.859)  0.04
Pr (0.000, 0.000, 0.142)  0.13
Pr (0.500, 0.000, 0.638)  0.01
Mg (0.500, 0.500, 0.074)  0.01
Sn (0.000, 0.500, 0.589)  0.00
Sn (0.000, 0.000, 0.415)  0.00
Sn (0.500, 0.000, 0.918)  -0.01

***

# 2
## PrMgSn4 (PBE)

Data for a relaxed PrMgSn4 crystal.

Output
- Space group: No. 216
- D(E_F): 3.12 states/eV per cell
- ΔE_f: -0.2111 eV/atom
- M_tot: 0.00 μB/cell
- Crystal system: cubic

Unit cell a=6.203 b=6.203 c=6.203 alpha=60.00 beta=60.00 gamma=60.00
Element x y z (fractional)
Pr (0.000, 0.000, 0.000)
Mg (0.250, 0.250, 0.250)
Sn (0.625, 0.625, 0.125)
Sn (0.625, 0.125, 0.625)
Sn (0.625, 0.625, 0.625)
Sn (0.125, 0.625, 0.625)

***

# 3
## Pr5Mg4Sn (PBE)

Data for a relaxed Pr5Mg4Sn crystal.

Output
- Space group: No. 123
- D(E_F): 9.00 states/eV per cell
- ΔE_f: -0.2292 eV/atom
- M_tot: 0.00 μB/cell
- Crystal system: tetragonal

Unit cell a=3.922 b=3.922 c=19.459 alpha=90.00 beta=90.00 gamma=90.00
Element x y z (fractional)
Pr (0.500, 0.500, 0.099)
Pr (0.500, 0.500, 0.298)
Pr (0.500, 0.500, 0.500)
Pr (0.500, 0.500, 0.702)
Pr (0.500, 0.500, 0.901)
Mg (0.000, 0.000, 0.202)
Mg (0.000, 0.000, 0.400)
Mg (0.000, 0.000, 0.600)
Mg (0.000, 0.000, 0.798)
Sn (0.000, 0.000, 0.000)

***

# 4
## Pr2MgSn9 (PBE)

Data for a relaxed Pr2MgSn9 crystal.

Output
- Space group: No. 123
- D(E_F): 4.28 states/eV per cell
- ΔE_f: -0.3434 eV/atom
- M_tot: 0.00 μB/cell
- Crystal system: tetragonal

Unit cell a=4.696 b=4.696 c=14.720 alpha=90.00 beta=90.00 gamma=90.00
Element x y z (fractional)
Pr (0.000, 0.000, 0.337)
Pr (0.000, 0.000, 0.663)
Mg (0.000, 0.000, 0.000)
Sn (0.500, 0.500, 0.000)
Sn (0.500, 0.500, 0.326)
Sn (0.500, 0.500, 0.674)
Sn (0.500, 0.000, 0.159)
Sn (0.500, 0.000, 0.500)
Sn (0.500, 0.000, 0.841)
Sn (0.000, 0.500, 0.159)
Sn (0.000, 0.500, 0.500)
Sn (0.000, 0.500, 0.841)

***

# 5
## PrMgSn2 (PBE)

Data for a relaxed PrMgSn2 crystal.

Output
- Space group: No. 166
- E above lowest polymorph: 137.8 meV per atom
- D(E_F): 1.98 states/eV per cell
- ΔE_f: -0.3989 eV/atom
- M_tot: 0.00 μB/cell
- Crystal system: trigonal

Unit cell a=4.875 b=4.875 c=6.055 alpha=66.26 beta=66.26 gamma=60.00
Element x y z (fractional)
Pr (0.500, 0.500, 0.500)
Mg (0.000, 0.000, 0.000)
Sn (0.730, 0.730, 0.811)
Sn (0.270, 0.270, 0.189)

***

# 6
## Pr3MgSn5 (PBE)

Data for a relaxed Pr3MgSn5 crystal.

Output
- Space group: No. 193
- D(E_F): 11.95 states/eV per cell
- ΔE_f: -0.5351 eV/atom
- M_tot: 0.00 μB/cell
- Crystal system: hexagonal

Unit cell a=6.395 b=9.533 c=9.533 alpha=120.00 beta=90.00 gamma=90.00
Element x y z (fractional)
Pr (0.750, 0.378, 0.000)
Pr (0.750, 0.622, 0.622)
Pr (0.750, 0.000, 0.378)
Pr (0.250, 0.622, 0.000)
Pr (0.250, 0.378, 0.378)
Pr (0.250, 0.000, 0.622)
Mg (0.000, 0.000, 0.000)
Mg (0.500, 0.000, 0.000)
Sn (0.000, 0.333, 0.667)
Sn (0.500, 0.667, 0.333)
Sn (0.000, 0.667, 0.333)
Sn (0.500, 0.333, 0.667)
Sn (0.750, 0.720, 0.000)
Sn (0.750, 0.280, 0.280)
Sn (0.750, 0.000, 0.720)
Sn (0.250, 0.280, 0.000)
Sn (0.250, 0.720, 0.720)
Sn (0.250, 0.000, 0.280)

***

# 7
## Pr6MgSn (PBE)

Data for a relaxed Pr6MgSn crystal.

Output
- Space group: No. 123
- D(E_F): 12.65 states/eV per cell
- ΔE_f: -0.2278 eV/atom
- M_tot: 0.00 μB/cell
- Crystal system: tetragonal

Unit cell a=5.045 b=5.045 c=10.017 alpha=90.00 beta=90.00 gamma=90.00
Element x y z (fractional)
Pr (0.500, 0.500, 0.000)
Pr (0.500, 0.500, 0.500)
Pr (0.500, 0.000, 0.245)
Pr (0.500, 0.000, 0.755)
Pr (0.000, 0.500, 0.245)
Pr (0.000, 0.500, 0.755)
Mg (0.000, 0.000, 0.500)
Sn (0.000, 0.000, 0.000)

***

# 8
## SrPr2Mg2Sn2 (PBE)

Data for a relaxed SrPr2Mg2Sn2 crystal.

Output
- Space group: No. 166
- D(E_F): 5.72 states/eV per cell
- ΔE_f: -0.3690 eV/atom
- M_tot: 0.00 μB/cell
- Crystal system: trigonal

Unit cell a=5.056 b=5.056 c=10.078 alpha=75.47 beta=75.47 gamma=60.00
Element x y z (fractional)
Sr (0.000, 0.000, 0.000)
Pr (0.133, 0.133, 0.602)
Pr (0.867, 0.867, 0.398)
Mg (0.584, 0.584, 0.249)
Mg (0.416, 0.416, 0.751)
Sn (0.742, 0.742, 0.775)
Sn (0.258, 0.258, 0.225)

***

# 9
## SrPrMgSn (PBE)

Data for a relaxed SrPrMgSn crystal.

Output
- Space group: No. 216
- D(E_F): 3.08 states/eV per cell
- ΔE_f: -0.3701 eV/atom
- M_tot: 0.00 μB/cell
- Crystal system: cubic

Unit cell a=5.603 b=5.603 c=5.603 alpha=60.00 beta=60.00 gamma=60.00
Element x y z (fractional)
Pr (0.000, 0.000, 0.000)
Sr (0.500, 0.500, 0.500)
Mg (0.750, 0.750, 0.750)
Sn (0.250, 0.250, 0.250)

***

# 10
## TbPrMgSn (PBE)

Data for a relaxed TbPrMgSn crystal.

Output
- Space group: No. 216
- D(E_F): 3.50 states/eV per cell
- ΔE_f: -0.4214 eV/atom
- M_tot: 0.00 μB/cell
- Crystal system: cubic

Unit cell a=5.402 b=5.402 c=5.402 alpha=60.00 beta=60.00 gamma=60.00
Element x y z (fractional)
Pr (0.500, 0.500, 0.500)
Mg (0.750, 0.750, 0.750)
Tb (0.000, 0.000, 0.000)
Sn (0.250, 0.250, 0.250)

***

# 11
## PrThMgSn (PBE)

Data for a relaxed PrThMgSn crystal.

Output
- Space group: No. 216
- D(E_F): 3.30 states/eV per cell
- ΔE_f: -0.2613 eV/atom
- M_tot: 0.00 μB/cell
- Crystal system: cubic

Unit cell a=5.482 b=5.482 c=5.482 alpha=60.00 beta=60.00 gamma=60.00
Element x y z (fractional)
Pr (0.500, 0.500, 0.500)
Mg (0.250, 0.250, 0.250)
Sn (0.750, 0.750, 0.750)
Th (0.000, 0.000, 0.000)

***

# 12
## PrMgTlSn (PBE)

Data for a relaxed PrMgTlSn crystal.

Output
- Space group: No. 47
- E above lowest polymorph: 0.0 meV per atom
- D(E_F): 1.69 states/eV per cell
- ΔE_f: -0.4399 eV/atom
- M_tot: 0.00 μB/cell
- Crystal system: orthorhombic

Unit cell a=4.532 b=4.773 c=4.961 alpha=90.00 beta=90.00 gamma=90.00
Element x y z (fractional)
Pr (0.500, 0.500, 0.000)
Mg (0.500, 0.000, 0.500)
Tl (0.000, 0.500, 0.500)
Sn (0.000, 0.000, 0.000)

***

# 13
## PrMgTlSn (PBE)

Data for a relaxed PrMgTlSn crystal.

Output
- Space group: No. 216
- E above lowest polymorph: 150.0 meV per atom
- D(E_F): 3.80 states/eV per cell
- ΔE_f: -0.2899 eV/atom
- M_tot: 0.00 μB/cell
- Crystal system: cubic

Unit cell a=5.379 b=5.379 c=5.379 alpha=60.00 beta=60.00 gamma=60.00
Element x y z (fractional)
Pr (0.750, 0.750, 0.750)
Tl (0.500, 0.500, 0.500)
Mg (0.250, 0.250, 0.250)
Sn (0.000, 0.000, 0.000)

***

# 14
## PrYMgSn (PBE)

Data for a relaxed PrYMgSn crystal.

Output
- Space group: No. 216
- D(E_F): 3.50 states/eV per cell
- ΔE_f: -0.4338 eV/atom
- M_tot: 0.00 μB/cell
- Crystal system: cubic

Unit cell a=5.398 b=5.398 c=5.398 alpha=60.00 beta=60.00 gamma=60.00
Element x y z (fractional)
Pr (0.250, 0.250, 0.250)
Y (0.750, 0.750, 0.750)
Mg (0.500, 0.500, 0.500)
Sn (0.000, 0.000, 0.000)

***

# 15
## PrMg2Zn2Sn2 (PBE)

Data for a relaxed PrMg2Zn2Sn2 crystal.

Output
- Space group: No. 166
- D(E_F): 2.45 states/eV per cell
- ΔE_f: -0.2746 eV/atom
- M_tot: 0.00 μB/cell
- Crystal system: trigonal

Unit cell a=4.768 b=4.768 c=8.616 alpha=73.94 beta=73.94 gamma=60.00
Element x y z (fractional)
Pr (0.000, 0.000, 0.000)
Mg (0.137, 0.137, 0.588)
Mg (0.863, 0.863, 0.412)
Zn (0.555, 0.555, 0.334)
Zn (0.445, 0.445, 0.666)
Sn (0.742, 0.742, 0.773)
Sn (0.258, 0.258, 0.227)

***

# 16
## PrMg2ZnSn2 (PBE)

Data for a relaxed PrMg2ZnSn2 crystal.

Output
- Space group: No. 26
- D(E_F): 4.48 states/eV per cell
- ΔE_f: -0.3319 eV/atom
- M_tot: 0.00 μB/cell
- Crystal system: orthorhombic

Unit cell a=4.664 b=7.419 c=8.679 alpha=90.00 beta=90.00 gamma=90.00
Element x y z (fractional)
Pr (0.000, 0.002, 0.465)
Pr (0.000, 0.502, 0.535)
Mg (0.500, 0.002, 0.094)
Mg (0.000, 0.340, 0.150)
Mg (0.500, 0.502, 0.906)
Mg (0.000, 0.840, 0.850)
Zn (0.500, 0.185, 0.666)
Zn (0.500, 0.685, 0.334)
Sn (0.000, 0.235, 0.835)
Sn (0.500, 0.281, 0.344)
Sn (0.000, 0.735, 0.165)
Sn (0.500, 0.781, 0.656)

***

# 17
## SrPrMg4 (PBE)

Data for a relaxed SrPrMg4 crystal.

Output
- Space group: No. 216
- D(E_F): 4.59 states/eV per cell
- ΔE_f: -0.0890 eV/atom
- M_tot: 0.00 μB/cell
- Crystal system: cubic

Unit cell a=6.284 b=6.284 c=6.284 alpha=60.00 beta=60.00 gamma=60.00
Element x y z (fractional)
Pr (0.000, 0.000, 0.000)
Sr (0.250, 0.250, 0.250)
Mg (0.626, 0.626, 0.121)
Mg (0.626, 0.121, 0.626)
Mg (0.626, 0.626, 0.626)
Mg (0.121, 0.626, 0.626)

***

# 18
## Sr2PrMg9 (PBE)

Data for a relaxed Sr2PrMg9 crystal.

Output
- Space group: No. 166
- D(E_F): 11.02 states/eV per cell
- ΔE_f: -0.0609 eV/atom
- M_tot: 0.00 μB/cell
- Crystal system: trigonal

Unit cell a=6.251 b=6.251 c=10.765 alpha=73.12 beta=73.12 gamma=60.00
Element x y z (fractional)
Sr (0.859, 0.859, 0.424)
Sr (0.141, 0.141, 0.576)
Pr (0.000, 0.000, 0.000)
Mg (0.666, 0.666, 0.001)
Mg (0.334, 0.334, 0.999)
Mg (0.500, 0.500, 0.500)
Mg (0.419, 0.419, 0.241)
Mg (0.921, 0.419, 0.241)
Mg (0.419, 0.921, 0.241)
Mg (0.581, 0.581, 0.759)
Mg (0.581, 0.079, 0.759)
Mg (0.079, 0.581, 0.759)

***

# 19
## SrPr2Mg2 (PBE)

Data for a relaxed SrPr2Mg2 crystal.

Output
- Space group: No. 65
- D(E_F): 6.58 states/eV per cell
- ΔE_f: 0.0687 eV/atom
- M_tot: 0.00 μB/cell
- Crystal system: orthorhombic

Unit cell a=3.859 b=3.975 c=11.305 alpha=79.88 beta=90.00 gamma=90.00
Element x y z (fractional)
Sr (0.000, 0.000, 0.000)
Pr (0.000, 0.186, 0.628)
Pr (0.000, 0.814, 0.372)
Mg (0.500, 0.400, 0.200)
Mg (0.500, 0.600, 0.800)

***

# 20
## SrPr5Mg6 (PBE)

Data for a relaxed SrPr5Mg6 crystal.

Output
- Space group: No. 71
- D(E_F): 11.79 states/eV per cell
- ΔE_f: -0.0920 eV/atom
- M_tot: 0.00 μB/cell
- Crystal system: orthorhombic

Unit cell a=5.583 b=7.916 c=9.676 alpha=114.14 beta=106.77 gamma=90.00
Element x y z (fractional)
Pr (0.665, 0.165, 0.329)
Pr (0.331, 0.331, 0.662)
Pr (0.000, 0.500, 0.000)
Pr (0.669, 0.669, 0.338)
Pr (0.335, 0.835, 0.671)
Sr (0.000, 0.000, 0.000)
Mg (0.831, 0.574, 0.661)
Mg (0.831, 0.087, 0.661)
Mg (0.500, 0.735, 0.000)
Mg (0.500, 0.265, 0.000)
Mg (0.169, 0.913, 0.339)
Mg (0.169, 0.426, 0.339)